Record 1
Computed, not measured: NdPdAu after structural relaxation at the PBE-GGA level of DFT.

Structure (extended XYZ):
```
3
Lattice="-3.189 3.472 -0.273 -1.405 1.589 -4.219 -4.369 -0.923 -1.535" Properties=species:S:1:pos:R:3 pbc="T T T"
Pd -2.241 1.034 -1.507
Au 0.000 0.000 0.000
Nd -4.482 2.069 -3.014
```

Results
The calculated total energy is -5.08 eV/atom. The crystal system is cubic. The energy above the most stable polymorph in this dataset is 0.32 eV/f.u.

***

Record 2
Computed, not measured: HoLuTl2 after structural relaxation at the PBE-GGA level of DFT.

Structure (extended XYZ):
```
4
Lattice="3.694 0.000 0.000 1.847 3.199 0.000 1.847 1.066 9.587" Properties=species:S:1:pos:R:3 pbc="T T T"
Lu 0.000 0.000 0.000
Tl 1.847 1.066 2.372
Tl 5.540 3.199 7.215
Ho 3.694 2.132 4.794
```

Results
The calculated total energy is -3.70 eV/atom. The crystal system is trigonal. The energy above the most stable polymorph in this dataset is 0.24 eV/f.u.